First-principles (PBE) data for Sr20P12ClO48F3 after structural relaxation, as listed in Alexandria.

a = 7.3397 Å, b = 9.8925 Å, c = 17.1333 Å
α = 90.04°, β = 90.02°, γ = 90.03°
Sites, in units of the cell vectors:
Sr: 0.7554 0.2660 0.0058
Sr: 0.7547 0.3835 0.3737
Sr: 0.4972 0.4976 0.1674
Sr: 0.0000 0.5004 0.1665
Sr: 0.2545 0.6301 0.3799
Sr: 0.7534 0.7453 0.5057
Sr: 0.7519 0.8592 0.1290
Sr: 0.7506 0.8782 0.8649
Sr: 0.5041 0.0046 0.3328
Sr: 0.0018 0.0007 0.6674
Sr: 0.0050 0.9976 0.3371
Sr: 0.5002 0.0011 0.6656
Sr: 0.2501 0.1159 0.1240
Sr: 0.2506 0.1286 0.8804
Sr: 0.2536 0.2503 0.4949
Sr: 0.7555 0.3669 0.6201
Sr: 0.0082 0.4992 0.8283
Sr: 0.5053 0.4980 0.8353
Sr: 0.2557 0.6151 0.6250
Sr: 0.2493 0.7602 0.9960
P: 0.2514 0.3302 0.3007
P: 0.2491 0.3900 0.0159
P: 0.7534 0.7132 0.3177
P: 0.2490 0.7824 0.1867
P: 0.2493 0.8307 0.7976
P: 0.2542 0.8825 0.5154
P: 0.7534 0.1152 0.4849
P: 0.7499 0.1681 0.2003
P: 0.7491 0.2167 0.8157
P: 0.2554 0.2843 0.6838
P: 0.7484 0.6200 0.9838
P: 0.7546 0.6668 0.6977
Cl: 0.5885 0.0028 0.0004
O: 0.4232 0.3135 0.0433
O: 0.0803 0.3082 0.0441
O: 0.2427 0.3252 0.2096
O: 0.7467 0.3137 0.1653
O: 0.4273 0.4085 0.3243
O: 0.0842 0.4118 0.3307
O: 0.2451 0.5296 0.0582
O: 0.7535 0.5933 0.2585
O: 0.7432 0.5917 0.0734
O: 0.2525 0.6474 0.2338
O: 0.5836 0.7067 0.3716
O: 0.9261 0.7112 0.3702
O: 0.0763 0.7803 0.1340
O: 0.4194 0.7853 0.1327
O: 0.0839 0.7988 0.5396
O: 0.4269 0.8042 0.5425
O: 0.2534 0.8262 0.7066
O: 0.7542 0.8150 0.6667
O: 0.7508 0.8508 0.2728
O: 0.2574 0.9051 0.4255
O: 0.4192 0.9111 0.8258
O: 0.0764 0.9111 0.8224
O: 0.2475 0.9074 0.2419
O: 0.7528 0.9761 0.4418
O: 0.2490 0.0208 0.5595
O: 0.7440 0.0900 0.7615
O: 0.9110 0.0862 0.1646
O: 0.5696 0.0904 0.1839
O: 0.7528 0.0951 0.5750
O: 0.2476 0.1511 0.7326
O: 0.2521 0.1852 0.3361
O: 0.7719 0.1734 0.2910
O: 0.9253 0.1954 0.4588
O: 0.5825 0.1960 0.4578
O: 0.9136 0.2064 0.8729
O: 0.5718 0.2318 0.8646
O: 0.4286 0.2791 0.6314
O: 0.0858 0.2879 0.6292
O: 0.7679 0.3487 0.7663
O: 0.2476 0.4061 0.9256
O: 0.2590 0.4106 0.7380
O: 0.7758 0.4843 0.9382
O: 0.9278 0.5894 0.6707
O: 0.5852 0.5880 0.6678
O: 0.2479 0.6859 0.8330
O: 0.7518 0.6666 0.7889
O: 0.9074 0.7184 0.9643
O: 0.5676 0.6820 0.9533
F: 0.1664 0.0026 0.0000
F: 0.7597 0.4980 0.4997
F: 0.2641 0.4969 0.4999

Computed properties:
* formation energy from raw total energies: -2.983 eV/atom